Record 1
# Ta2NiMoC

An optimized crystal structure of Ta2NiMoC (PBE, the Alexandria database).

Output
The value obtained for the uncorrected energy is -10.0047 eV per atom.

a = 4.3506 Å, b = 4.3506 Å, c = 3.6964 Å
α = 90.00°, β = 90.00°, γ = 90.00°
Closest atoms and distances in Å follow each position.
Space group P4/mmm (No. 123)
Unique sites:
Ta 0.0000 0.5000 0.0000 x2  2 C 2.18
Ni 0.0000 0.0000 0.5000 x1  2 C 1.85
Mo 0.5000 0.5000 0.5000 x1  8 Ta 2.85, 4 Ni 3.08
C 0.0000 0.0000 0.0000 x1  2 Ni 1.85

---

Record 2
# NpMoC

An optimized crystal structure of NpMoC (PBE, the Alexandria database).

Output
The value obtained for the uncorrected energy is -10.5654 eV per atom. For the relative energy among the computed polymorphs, the calculation gives 0.289 eV per atom.

a = 2.9862 Å, b = 2.9862 Å, c = 9.7455 Å
α = 90.00°, β = 90.00°, γ = 90.00°
Closest atoms and distances in Å follow each position.
Space group I4mm (No. 107)
Unique sites:
Np 0.0000 0.0000 0.0000 x2  1 Mo 2.67, 5 C 2.89-2.90, 4 Np 2.99
Mo 0.0000 0.0000 0.7259 x2  4 C 2.22
C 0.0000 0.0000 0.2978 x2  4 Mo 2.22

---

Record 3
# NpMoC2

An optimized crystal structure of NpMoC2 (PBE, the Alexandria database).

Output
The value obtained for the uncorrected energy is -10.4652 eV per atom. For the relative energy among the computed polymorphs, the calculation gives 0.157 eV per atom.

a = 3.1217 Å, b = 3.1217 Å, c = 17.4907 Å
α = 90.00°, β = 90.00°, γ = 120.00°
Closest atoms and distances in Å follow each position.
Space group R3m (No. 160, hexagonal axes)
Unique sites:
Np 0.0000 0.0000 0.0000 x3  6 C 2.38-2.50
Mo 0.0000 0.0000 0.1742 x3  6 C 2.18-2.23
C 0.0000 0.0000 0.5778 x3  3 Mo 2.18, 3 Np 2.38
C 0.0000 0.0000 0.7658 x3  3 Mo 2.23

---

Record 4
# NpMoC

An optimized crystal structure of NpMoC (PBE, the Alexandria database).

Output
The value obtained for the uncorrected energy is -10.8545 eV per atom. For the relative energy among the computed polymorphs, the calculation gives 0.000 eV per atom.

a = 3.0568 Å, b = 3.0568 Å, c = 5.5438 Å
α = 90.00°, β = 90.00°, γ = 120.00°
Closest atoms and distances in Å follow each position.
Space group P3m1 (No. 156)
Unique sites:
Np 0.0000 0.0000 0.0000 x1  3 C 2.41
Mo 0.6667 0.3333 0.5001 x1  3 C 2.10
C 0.3333 0.6667 0.7050 x1  3 Mo 2.10

---

Record 5
# NpMoC2

An optimized crystal structure of NpMoC2 (PBE, the Alexandria database).

Output
The value obtained for the uncorrected energy is -10.6224 eV per atom. For the relative energy among the computed polymorphs, the calculation gives 0.000 eV per atom.

a = 3.2123 Å, b = 3.2123 Å, c = 16.4806 Å
α = 90.00°, β = 90.00°, γ = 120.00°
Closest atoms and distances in Å follow each position.
Space group R-3m (No. 166, hexagonal axes)
Unique sites:
Np 0.0000 0.0000 0.0000 x3  6 C 2.40
Mo 0.0000 0.0000 0.5000 x3  6 C 2.22
C 0.0000 0.0000 0.2410 x6  3 Mo 2.22, 3 Np 2.40

---

Record 6
# NpTa2MoC4

An optimized crystal structure of NpTa2MoC4 (PBE, the Alexandria database).

Output
The value obtained for the uncorrected energy is -10.6881 eV per atom.

a = 3.2025 Å, b = 11.3817 Å, c = 11.2884 Å
α = 90.00°, β = 90.00°, γ = 90.00°
Closest atoms and distances in Å follow each position.
Space group Cmcm (No. 63)
Unique sites:
Np 0.0000 0.1205 0.2500 x4  6 C 2.41-2.60
Ta 0.0000 0.3701 0.0347 x8  3 C 2.08-2.21
Mo 0.0000 0.1469 0.7500 x4  4 C 2.02-2.03
C 0.0000 0.0000 0.0000 x4  4 Ta 2.21
C 0.0000 0.2612 0.6136 x8  1 Mo 2.02, 1 Ta 2.08
C 0.0000 0.4627 0.2500 x4  2 Mo 2.03

---

Record 7
# Np3Ta2MoC6

An optimized crystal structure of Np3Ta2MoC6 (PBE, the Alexandria database).

Output
The value obtained for the uncorrected energy is -10.9894 eV per atom.

a = 5.6158 Å, b = 9.7179 Å, c = 5.8693 Å
α = 90.00°, β = 108.56°, γ = 90.00°
Closest atoms and distances in Å follow each position.
Space group C2/m (No. 12)
Unique sites:
Np 0.0000 0.0000 0.0000 x2  6 C 2.41-2.42
Np 0.0000 0.3336 0.0000 x4  6 C 2.41-2.42
Ta 0.0000 0.1666 0.5000 x4  6 C 2.25
Mo 0.0000 0.5000 0.5000 x2  6 C 2.26
C 0.2402 0.0000 0.7253 x4  2 Ta 2.25, 1 Mo 2.26, 3 Np 2.41-2.42
C 0.2425 0.3327 0.7255 x8  2 Ta 2.25, 1 Mo 2.26, 3 Np 2.41-2.42